Computed, not measured: a crystal of LiBe2Pt2 relaxed with PBEsol at the SCAN level of DFT.

a = 6.541 Å, b = 6.541 Å, c = 2.726 Å
α = 90.00°, β = 90.00°, γ = 90.00°
Space group P4/mbm (No. 127)
One atom of each set of equivalent atoms:
Li 0.000 0.000 0.000 [2 per cell]
Be 0.128 0.372 0.000 [4 per cell]
Pt 0.166 0.666 0.500 [4 per cell]

Computed properties:
Spin magnetization in Bohr magnetons per cell: 0.0
Crystal system: tetragonal
Uncorrected energy in eV for the cell shown: -312.084
DFT formation energy in eV/atom: -0.9118
Calculated volume in Å³/f.u.: 58.3